This record from Alexandria describes CaSmPt after structural relaxation. The functional is GGA-PBE.

Output
formation enthalpy at 0 K	-0.780	eV per atom
E_tot	-90.6	eV/cell
space-group type	Ima2, No. 46

Cell: 9.002 9.002 9.002 Å, 118.00 84.23 129.13°
Sites, in units of the cell vectors:
Ca 0.000 0.250 0.250
Ca 0.000 0.750 0.750
Ca 0.412 0.369 0.543
Ca 0.413 0.870 0.043
Ca 0.826 0.869 0.457
Ca 0.827 0.370 0.957
Sm 0.157 0.285 0.872
Sm 0.157 0.785 0.371
Sm 0.414 0.285 0.128
Sm 0.414 0.785 0.629
Sm 0.669 0.169 0.500
Sm 0.669 0.669 0.000
Pt 0.080 0.414 0.666
Pt 0.080 0.914 0.166
Pt 0.413 0.163 0.750
Pt 0.413 0.663 0.250
Pt 0.748 0.414 0.334
Pt 0.748 0.914 0.834



This record from Alexandria describes SrP3Br after structural relaxation. The functional is GGA-PBE.

Output
uncorrected formation energy	0.58	eV/atom
E_tot	-16.7	eV/cell
space-group type	Pm-3m, No. 221

Cell: 4.971 4.971 4.971 Å, 90.00 90.00 90.00°
Sites, in units of the cell vectors:
Sr 0.000 0.000 0.000
P 0.000 0.500 0.500
P 0.500 0.000 0.500
P 0.500 0.500 0.000
Br 0.500 0.500 0.500



This record from Alexandria describes LaIr2O after structural relaxation. The functional is GGA-PBE.

Output
uncorrected formation energy	-0.42	eV/atom
E_tot	-58.6	eV/cell
space-group type	I-42d, No. 122

Cell: 7.355 7.355 7.355 Å, 140.28 140.28 57.43°
Sites, in units of the cell vectors:
La 0.000 0.000 0.000
La 0.750 0.250 0.500
Ir 0.324 0.125 0.699
Ir 0.375 0.676 0.801
Ir 0.426 0.625 0.301
Ir 0.875 0.574 0.199
O 0.250 0.750 0.500
O 0.500 0.500 0.000



This record from Alexandria describes Li3Ge after structural relaxation. The functional is GGA-PBE.

Output
formation enthalpy at 0 K	-0.325	eV per atom
E_tot	-11.7	eV/cell
space-group type	Fm-3m, No. 225

Cell: 4.401 4.401 4.401 Å, 60.00 60.00 60.00°
Sites, in units of the cell vectors:
Li 0.000 0.000 0.000
Li 0.250 0.250 0.250
Li 0.750 0.750 0.750
Ge 0.500 0.500 0.500



This record from Alexandria describes CdH2NCl after structural relaxation. The functional is GGA-PBE.

Output
E_tot	-37.4	eV/cell
space-group type	Cmcm, No. 63

Cell: 5.591 5.591 6.850 Å, 90.00 90.00 144.11°
Sites, in units of the cell vectors:
Cd 0.064 0.936 0.750
Cd 0.936 0.064 0.250
H 0.411 0.589 0.551
H 0.411 0.589 0.949
H 0.589 0.411 0.051
H 0.589 0.411 0.449
N 0.500 0.500 0.000
N 0.500 0.500 0.500
Cl 0.232 0.768 0.250
Cl 0.768 0.232 0.750



This record from Alexandria describes Sr8Bi3AsI4 after structural relaxation. The functional is GGA-PBE.

Output
uncorrected formation energy	-1.27	eV/atom
E_tot	-56.3	eV/cell
space-group type	R-3m, No. 166

Cell: 9.726 9.726 9.726 Å, 59.99 59.99 59.99°
Sites, in units of the cell vectors:
Sr 0.238 0.238 0.238
Sr 0.249 0.729 0.729
Sr 0.271 0.271 0.751
Sr 0.271 0.751 0.271
Sr 0.729 0.249 0.729
Sr 0.729 0.729 0.249
Sr 0.751 0.271 0.271
Sr 0.762 0.762 0.762
Bi 0.000 0.000 0.500
Bi 0.000 0.500 0.000
Bi 0.500 0.000 0.000
As 0.500 0.500 0.500
I 0.000 0.000 0.000
I 0.000 0.500 0.500
I 0.500 0.000 0.500
I 0.500 0.500 0.000



Look up the E_tot of the fourth one. -11.7 eV/cell